# Mn3Mo4

A geometry-optimized Mn3Mo4 structure (GGA-PBEsol, Alexandria).

Cell: 4.715 4.715 4.809 Å, 90.00 90.00 120.00°
Fractional coordinates of all 7 atoms:
1 Mn 0.000 0.500 0.000
2 Mn 0.500 0.000 0.000
3 Mn 0.500 0.500 0.000
4 Mo 0.000 0.000 0.251
5 Mo 0.000 0.000 0.749
6 Mo 0.333 0.667 0.500
7 Mo 0.667 0.333 0.500

Values from the calculation:
ΔH_f (0 K): 0.026 eV/atom
space-group type: P6/mmm (191)